# Zr3AlGa2NiIr2

Crystalline Zr3AlGa2NiIr2 at its relaxed geometry (PBE, OQMD via LeMat-Bulk).

Values from the calculation:
The calculation puts the total moment at 0.01 μB per cell. Its total energy is -131.91 eV/cell.

Geometry as CIF:
```
data_Zr3AlGa2NiIr2
_chemical_formula_sum 'Zr6 Al2 Ga4 Ni2 Ir4'
_cell_length_a 3.4716
_cell_length_b 12.4110
_cell_length_c 7.1216
_cell_angle_alpha 90.00
_cell_angle_beta 90.00
_cell_angle_gamma 90.00
_symmetry_space_group_name_H-M 'A m m 2'
_symmetry_Int_Tables_number 38
loop_
_symmetry_equiv_pos_as_xyz
'x,y,z'
'-x,-y,z'
'-x,y,z'
'x,-y,z'
'x,y+1/2,z+1/2'
'-x,-y+1/2,z+1/2'
'-x,y+1/2,z+1/2'
'x,-y+1/2,z+1/2'
loop_
_atom_site_label
_atom_site_type_symbol
_atom_site_fract_x
_atom_site_fract_y
_atom_site_fract_z
Zr1 Zr 0.0000 0.0000 0.0000
Zr2 Zr 0.0000 0.2018 0.5994
Al1 Al 0.5000 0.0000 0.6489
Ga1 Ga 0.5000 0.1265 0.2747
Ni1 Ni 0.0000 0.0000 0.4007
Ir1 Ir 0.5000 0.1646 0.8958
```